--- i ---
# Be2CuAu2

A geometry-optimized Be2CuAu2 structure (GGA-PBEsol, Alexandria).

The calculation puts the mass density at 12.2 g/cm3. For the total magnetic moment, the calculation gives 0.000 μB per formula unit.

The space group is I4/mmm (No. 139) and the conventional cell measures 3.234, 3.234 and 12.373 Å, with angles of 90.00, 90.00 and 90.00 degrees. The asymmetric unit holds Be at (0.000, 0.500, 0.250), Cu at (0.000, 0.000, 0.000) and Au at (0.000, 0.000, 0.387).

--- ii ---
# Be2CuAu2

A geometry-optimized Be2CuAu2 structure (GGA-PBEsol, Alexandria).

The calculation puts the mass density at 12.2 g/cm3. For the total magnetic moment, the calculation gives 0.000 μB per formula unit.

The space group is P4/mbm (No. 127) and the conventional cell measures 6.830, 6.830 and 2.769 Å, with angles of 90.00, 90.00 and 90.00 degrees. The asymmetric unit holds Be at (0.149, 0.351, 0.000), Cu at (0.000, 0.000, 0.500) and Au at (0.150, 0.650, 0.500).

Best to worst by energy: i, ii.

--- i ---
# BeCuAu

A geometry-optimized BeCuAu structure (GGA-PBEsol, Alexandria).

The calculation puts the mass density at 9.9 g/cm3. For the total magnetic moment, the calculation gives 0.000 μB per formula unit.

The space group is F-43m (No. 216) and the conventional cell measures 5.658, 5.658 and 5.658 Å, with angles of 90.00, 90.00 and 90.00 degrees. The asymmetric unit holds Be at (0.000, 0.000, 0.000), Cu at (0.000, 0.000, 0.500) and Au at (0.250, 0.250, 0.250).

--- ii ---
# BeCuAu

A geometry-optimized BeCuAu structure (GGA-PBEsol, Alexandria).

The calculation puts the mass density at 12.3 g/cm3. For the total magnetic moment, the calculation gives 0.000 μB per formula unit.

The space group is I4mm (No. 107) and the conventional cell measures 2.882, 2.882 and 8.730 Å, with angles of 90.00, 90.00 and 90.00 degrees. The asymmetric unit holds Be at (0.000, 0.000, 0.000), Cu at (0.000, 0.000, 0.365) and Au at (0.000, 0.000, 0.664).

Best to worst by energy: ii, i.

--- i ---
# BeFeCuAu2

A geometry-optimized BeFeCuAu2 structure (GGA-PBEsol, Alexandria).

The calculation puts the mass density at 10.4 g/cm3. For the total magnetic moment, the calculation gives 3.222 μB per formula unit.

The space group is P4/mmm (No. 123) and the conventional cell measures 4.645, 4.645 and 3.847 Å, with angles of 90.00, 90.00 and 90.00 degrees. The asymmetric unit holds Be at (0.000, 0.000, 0.000), Fe at (0.500, 0.500, 0.000), Cu at (0.000, 0.000, 0.500) and Au at (0.000, 0.500, 0.500).

--- ii ---
# BeFeCuAu2

A geometry-optimized BeFeCuAu2 structure (GGA-PBEsol, Alexandria).

The calculation puts the mass density at 9.5 g/cm3. For the total magnetic moment, the calculation gives 3.069 μB per formula unit.

The space group is P4/mmm (No. 123) and the conventional cell measures 4.627, 4.627 and 4.244 Å, with angles of 90.00, 90.00 and 90.00 degrees. The asymmetric unit holds Be at (0.000, 0.000, 0.000), Fe at (0.500, 0.500, 0.000), Cu at (0.500, 0.500, 0.500) and Au at (0.000, 0.500, 0.500).

Best to worst by energy: i, ii.

--- i ---
# BeInAu2

A geometry-optimized BeInAu2 structure (GGA-PBEsol, Alexandria).

The calculation puts the mass density at 13.2 g/cm3. For the total magnetic moment, the calculation gives 0.000 μB per formula unit.

The space group is Fm-3m (No. 225) and the conventional cell measures 6.388, 6.388 and 6.388 Å, with angles of 90.00, 90.00 and 90.00 degrees. The asymmetric unit holds Be at (0.000, 0.000, 0.000), In at (0.000, 0.000, 0.500) and Au at (0.250, 0.250, 0.250).

--- ii ---
# BeInAu2

A geometry-optimized BeInAu2 structure (GGA-PBEsol, Alexandria).

The calculation puts the mass density at 13.2 g/cm3. For the total magnetic moment, the calculation gives 0.000 μB per formula unit.

The space group is Cmmm (No. 65) and the conventional cell measures 5.837, 6.293 and 3.555 Å, with angles of 90.00, 90.00 and 90.00 degrees. The asymmetric unit holds Be at (0.000, 0.000, 0.000), In at (0.000, 0.500, 0.000) and Au at (0.250, 0.250, 0.500).

Best to worst by energy: i, ii.

--- i ---
# LaBeAu

A geometry-optimized LaBeAu structure (GGA-PBEsol, Alexandria).

The calculation puts the mass density at 7.3 g/cm3. For the total magnetic moment, the calculation gives 0.001 μB per formula unit.

The space group is F-43m (No. 216) and the conventional cell measures 6.803, 6.803 and 6.803 Å, with angles of 90.00, 90.00 and 90.00 degrees. The asymmetric unit holds La at (0.000, 0.000, 0.000), Be at (0.250, 0.250, 0.250) and Au at (0.250, 0.250, 0.750).

--- ii ---
# LaBeAu

A geometry-optimized LaBeAu structure (GGA-PBEsol, Alexandria).

The calculation puts the mass density at 8.8 g/cm3. For the total magnetic moment, the calculation gives 0.000 μB per formula unit.

The space group is F-43m (No. 216) and the conventional cell measures 6.390, 6.390 and 6.390 Å, with angles of 90.00, 90.00 and 90.00 degrees. The asymmetric unit holds La at (0.000, 0.000, 0.000), Be at (0.250, 0.250, 0.250) and Au at (0.000, 0.000, 0.500).

Best to worst by energy: ii, i.

--- i ---
# MgBe2Au2

A geometry-optimized MgBe2Au2 structure (GGA-PBEsol, Alexandria).

The calculation puts the mass density at 10.1 g/cm3. For the total magnetic moment, the calculation gives 0.000 μB per formula unit.

The space group is I4/mmm (No. 139) and the conventional cell measures 3.381, 3.381 and 12.514 Å, with angles of 90.00, 90.00 and 90.00 degrees. The asymmetric unit holds Mg at (0.000, 0.000, 0.000), Be at (0.000, 0.500, 0.250) and Au at (0.000, 0.000, 0.383).

--- ii ---
# MgBe2Au2

A geometry-optimized MgBe2Au2 structure (GGA-PBEsol, Alexandria).

The calculation puts the mass density at 10.7 g/cm3. For the total magnetic moment, the calculation gives 0.000 μB per formula unit.

The space group is P4/mbm (No. 127) and the conventional cell measures 6.873, 6.873 and 2.859 Å, with angles of 90.00, 90.00 and 90.00 degrees. The asymmetric unit holds Mg at (0.000, 0.000, 0.000), Be at (0.119, 0.381, 0.000) and Au at (0.174, 0.674, 0.500).

Best to worst by energy: ii, i.